Entry from the Alexandria database: a geometry-optimized Pu3P2H2 structure (GGA-PBE).

Its relative energy among the computed polymorphs is 11.3 kJ per mole of atoms. Its density of states at the Fermi level is 2.907 states/eV per atom. The total magnetization is 16.00 Bohr magnetons per cell. The space group is C2/m (12).

Lattice parameters (Å, degrees): 5.4514 5.4514 6.9198 107.73 107.73 41.92
Last column: nearest neighbours and their distance in Å.
Fractional coordinates of all 7 atoms:
Pu (0.0000, 0.0000, 0.0000)  2 H 2.25
Pu (0.3050, 0.3050, 0.2753)  3 H 2.31-2.48
Pu (0.6950, 0.6950, 0.7247)  3 H 2.31-2.48
P (0.4049, 0.4049, 0.6948)  6 Pu 2.74-2.95, 1 H 2.98
P (0.5951, 0.5951, 0.3052)  6 Pu 2.74-2.95, 1 H 2.98
H (0.1890, 0.1890, 0.9002)  4 Pu 2.25-2.48, 2 H 2.48
H (0.8110, 0.8110, 0.0998)  4 Pu 2.25-2.48, 2 H 2.48